Entry 1:
Entry from Alexandria via LeMat-Bulk: Ba5Na2Au after structural relaxation (PBE-GGA).

Its crystal system is monoclinic. The value obtained for the energy of formation is -17 kJ/mol of atoms.

```
16
Lattice="9.8025 -5.0401 0.0000 9.8025 5.0401 0.0000 -0.0176 0.0000 8.4775" Properties=species:S:1:pos:R:3 pbc="T T T"
Ba 9.7981 5.0376 2.1194
Ba 9.7893 -5.0376 6.3581
Ba 4.3884 -0.0018 2.1189
Ba 4.3796 0.0018 6.3576
Ba 8.0548 1.5996 4.2440
Ba 11.5238 1.5996 8.4722
Ba 8.0636 -1.5996 0.0053
Ba 11.5326 -1.5996 4.2335
Ba 15.2078 -0.0018 2.1199
Ba 15.1990 0.0018 6.3587
Na 7.4582 2.3207 0.0035
Na 12.1380 2.3207 4.2352
Na 7.4494 -2.3207 4.2423
Na 12.1292 -2.3207 8.4740
Au 4.8925 2.5200 4.2388
Au 4.9013 -2.5200 0.0000
```

---

Entry 2:
Entry from Alexandria via LeMat-Bulk: CaZn4Au2 after structural relaxation (PBE-GGA).

Its crystal system is tetragonal. The value obtained for the energy above the most stable polymorph in this dataset is 0.0 kJ/mol of formula units. The value obtained for the energy of formation is -39 kJ/mol of atoms.

```
14
Lattice="7.7729 0.0000 0.0000 0.0000 7.7729 0.0000 0.0000 0.0000 4.3001" Properties=species:S:1:pos:R:3 pbc="T T T"
Ca 0.0000 0.0000 0.0000
Ca 3.8865 3.8865 2.1500
Zn 0.7521 2.7635 2.1500
Zn 1.1229 4.6385 0.0000
Zn 2.7635 0.7521 2.1500
Zn 3.1344 6.6500 0.0000
Zn 4.6385 1.1229 0.0000
Zn 5.0094 7.0208 2.1500
Zn 6.6500 3.1344 0.0000
Zn 7.0208 5.0094 2.1500
Au 1.6378 6.1351 2.1500
Au 2.2487 2.2487 0.0000
Au 5.5242 5.5242 0.0000
Au 6.1351 1.6378 2.1500
```

---

Entry 3:
Entry from Alexandria via LeMat-Bulk: MnAg after structural relaxation (PBE-GGA).

Its crystal system is cubic. The value obtained for the energy of formation is 119 kJ/mol of atoms.

```
2
Lattice="0.0000 2.9915 2.9915 2.9915 0.0000 2.9915 2.9915 2.9915 0.0000" Properties=species:S:1:pos:R:3 pbc="T T T"
Mn 0.0000 0.0000 0.0000
Ag 4.4873 4.4873 4.4873
```

---

Entry 4:
Entry from Alexandria via LeMat-Bulk: MnMoPt3 after structural relaxation (PBE-GGA).

Its crystal system is monoclinic. The value obtained for the energy above the most stable polymorph in this dataset is 0.0 kJ/mol of formula units. The value obtained for the energy of formation is 11 kJ/mol of atoms.

```
10
Lattice="2.5796 -6.6796 0.0000 2.5796 6.6796 0.0000 -1.2218 0.0000 4.9554" Properties=species:S:1:pos:R:3 pbc="T T T"
Mn 1.6632 5.9233 3.7165
Mn 2.2741 -5.9233 1.2388
Mo 2.2741 2.3551 1.2388
Mo 1.6632 -2.3551 3.7165
Pt 0.3932 2.1699 3.3845
Pt 1.0041 -2.1699 0.9068
Pt 2.5796 0.0000 0.0000
Pt 1.9687 0.0000 2.4777
Pt 2.9332 2.1699 4.0486
Pt 3.5441 -2.1699 1.5709
```

---

Entry 5:
Entry from Alexandria via LeMat-Bulk: SiGeAu after structural relaxation (PBE-GGA).

The formation energy from raw total energies is 14.6 kJ/mol of atoms. Its crystal system is trigonal. The value obtained for the energy above the most stable polymorph in this dataset is 27.8 kJ/mol of formula units.

```
3
Lattice="3.5119 0.0000 0.0000 -1.7560 3.0414 0.0000 0.0000 0.0000 5.1074" Properties=species:S:1:pos:R:3 pbc="T T T"
Si 0.0000 0.0000 0.0000
Ge 0.0000 2.0276 3.4205
Au 1.7560 1.0138 1.5798
```

---

Entry 6:
Entry from Alexandria via LeMat-Bulk: CaCrW2 after structural relaxation (PBE-GGA).

Its crystal system is tetragonal. The value obtained for the energy above the most stable polymorph in this dataset is 119.3 kJ/mol of formula units. The value obtained for the energy of formation is 90 kJ/mol of atoms.

```
4
Lattice="-1.9338 1.9338 4.8331 1.9338 -1.9338 4.8331 1.9338 1.9338 -4.8331" Properties=species:S:1:pos:R:3 pbc="T T T"
Ca 0.0000 0.0000 0.0000
Cr 0.0000 0.0000 4.8331
W 1.9338 0.0000 2.4166
W 0.0000 1.9338 2.4166
```

---

Entry 7:
Entry from Alexandria via LeMat-Bulk: La6RuRh2Cl3 after structural relaxation (PBE-GGA).

The formation energy from raw total energies is -116.8 kJ/mol of atoms. Its crystal system is monoclinic.

```
12
Lattice="9.7365 -2.0685 0.0000 9.7365 2.0685 0.0000 -3.1506 0.0000 8.4934" Properties=species:S:1:pos:R:3 pbc="T T T"
La -0.5387 0.0000 1.8867
La 4.9141 0.0000 3.7481
La 3.9181 0.0000 7.6150
La 12.4043 0.0000 0.8784
La 11.4083 0.0000 4.7453
La 16.8611 0.0000 6.6067
Ru 9.7365 0.0000 0.0000
Rh 2.2111 0.0000 2.8492
Rh 14.1113 0.0000 5.6442
Cl 0.5941 0.0000 7.0688
Cl 8.1612 0.0000 4.2467
Cl 15.7283 0.0000 1.4246
```

---

Entry 8:
Entry from Alexandria via LeMat-Bulk: Tb5CeTe6 after structural relaxation (PBE-GGA).

The formation energy from raw total energies is -127.6 kJ/mol of atoms. Its crystal system is monoclinic.

```
12
Lattice="3.7841 -6.5940 0.0000 3.7841 6.5940 0.0000 -2.5543 0.0000 7.1994" Properties=species:S:1:pos:R:3 pbc="T T T"
Tb 0.0000 0.0000 0.0000
Tb 2.5070 4.3768 3.5997
Tb 3.7841 2.1716 0.0000
Tb 3.7841 -2.1716 0.0000
Tb 2.5070 -4.3768 3.5997
Ce 2.5070 0.0000 3.5997
Te 1.2325 2.2300 1.7704
Te -0.0694 0.0000 5.4058
Te 1.2325 -2.2300 1.7704
Te 3.7814 2.2300 5.4290
Te 5.0833 0.0000 1.7936
Te 3.7814 -2.2300 5.4290
```

---

Entry 9:
Entry from Alexandria via LeMat-Bulk: NdSi3Os after structural relaxation (PBE-GGA).

The formation energy from raw total energies is -44.4 kJ/mol of atoms. Its crystal system is orthorhombic.

```
10
Lattice="5.9776 0.0000 0.0000 0.0000 5.6444 0.0000 0.0000 0.0000 5.7990" Properties=species:S:1:pos:R:3 pbc="T T T"
Nd 0.0000 0.8681 0.0000
Nd 2.9888 4.7763 2.8995
Si 0.0000 5.4953 2.9094
Si 1.2812 1.9369 2.9733
Si 1.7076 3.7075 0.0738
Si 2.9888 0.1491 0.0099
Si 4.2700 3.7075 0.0738
Si 4.6964 1.9369 2.9733
Os 0.0000 3.5324 1.6981
Os 2.9888 2.1120 4.5976
```

---

Entry 10:
Entry from Alexandria via LeMat-Bulk: Ca2AlClO after structural relaxation (PBE-GGA).

The formation energy from raw total energies is -6.5 kJ/mol of atoms. Its crystal system is tetragonal.

```
5
Lattice="5.7138 0.0000 0.0000 0.0000 5.7138 0.0000 0.0000 0.0000 4.6791" Properties=species:S:1:pos:R:3 pbc="T T T"
Ca 0.0000 2.8569 0.0000
Ca 2.8569 0.0000 0.0000
Al 0.0000 0.0000 0.0000
Cl 0.0000 0.0000 2.3396
O 2.8569 2.8569 2.3396
```

---

Entry 11:
Entry from Alexandria via LeMat-Bulk: CsLiMnSe2 after structural relaxation (PBE-GGA).

The formation energy from raw total energies is -86.8 kJ/mol of atoms. Its crystal system is orthorhombic.

```
10
Lattice="3.1376 -7.5288 0.0000 3.1376 7.5288 0.0000 0.0000 0.0000 6.3971" Properties=species:S:1:pos:R:3 pbc="T T T"
Cs 3.1376 3.7644 4.8157
Cs 3.1376 -3.7644 1.5815
Li 0.0000 0.0000 0.0000
Li 3.1376 0.0000 0.0000
Mn 1.5688 0.0000 3.1986
Mn 4.7064 0.0000 3.1986
Se 3.1376 5.9985 1.8405
Se 3.1376 1.5303 1.8405
Se 3.1376 -1.5303 4.5567
Se 3.1376 -5.9985 4.5567
```

---

Entry 12:
Entry from Alexandria via LeMat-Bulk: CaP2Pb after structural relaxation (PBE-GGA).

Its crystal system is monoclinic. The value obtained for the energy of formation is -24 kJ/mol of atoms.

```
4
Lattice="4.2650 0.0000 0.0000 0.0000 4.9134 0.0000 -0.6145 0.0000 4.6251" Properties=species:S:1:pos:R:3 pbc="T T T"
Ca 0.0000 0.0000 0.0000
P 1.0333 2.4567 3.7308
P 1.5008 0.0000 2.6955
Pb 3.0165 2.4567 1.9203
```

---

One value per record, in order, for mass density: 3.69 8.89 5.05 14.32 9.06 10.56 6.05 7.86 7.11 1.72 3.88 5.30 g/cm³.